No. 1
## Pm4ZnRh (GGA-PBE)

Data for an optimized crystal structure of Pm4ZnRh.

Output
- ΔE_f: -0.232 eV per atom
- Symmetry: No. 2
- Calculated volume: 177.9 Å³/cell
- E: -29.0 eV/f.u.
- Relative energy among the computed polymorphs: 168.0 meV per atom

Lattice parameters (Å, degrees): 4.8517 5.2172 7.1167 80.98 89.85 89.98
Last column: nearest neighbours and their distance in Å.
Sites, in units of the cell vectors:
Pm 0.0024 0.5416 0.7387  1 Rh 2.70
Pm 0.5024 0.0488 0.7377  2 Rh 2.99-3.01, 2 Zn 3.17-3.20
Pm 0.0001 0.4531 0.2573  1 Rh 2.70
Pm 0.5002 0.9457 0.2590  2 Rh 2.99-3.01, 2 Zn 3.17-3.21
Zn 0.5014 0.4971 0.9980  8 Pm 3.03-3.21
Rh 0.0013 0.9974 0.4982  6 Pm 2.70-3.01

=====

No. 2
## Pm2Zn15Rh2 (GGA-PBE)

Data for an optimized crystal structure of Pm2Zn15Rh2.

Output
- ΔE_f: -0.306 eV per atom
- Symmetry: No. 166
- Calculated volume: 308.8 Å³/cell
- E: -49.1 eV/f.u.

Lattice parameters (Å, degrees): 6.8034 6.8034 6.8034 83.23 83.23 83.23
Last column: nearest neighbours and their distance in Å.
Sites, in units of the cell vectors:
Zn 0.0000 0.0000 0.5000  8 Zn 2.56-2.62, 2 Rh 2.72
Zn 0.6500 0.1512 0.6500  8 Zn 2.62-2.79, 1 Rh 2.79
Zn 0.6500 0.6500 0.1512  8 Zn 2.62-2.79, 1 Rh 2.79
Zn 0.7179 0.2821 0.0000  8 Zn 2.55-2.79
Zn 0.5000 0.0000 0.0000  8 Zn 2.56-2.62, 2 Rh 2.72
Zn 0.0000 0.7179 0.2821  8 Zn 2.55-2.79
Zn 0.3500 0.8488 0.3500  8 Zn 2.62-2.79, 1 Rh 2.79
Zn 0.3500 0.3500 0.8488  8 Zn 2.62-2.79, 1 Rh 2.79
Zn 0.0000 0.5000 0.0000  8 Zn 2.56-2.62, 2 Rh 2.72
Zn 0.1512 0.6500 0.6500  8 Zn 2.62-2.79, 1 Rh 2.79
Zn 0.2821 0.7179 0.0000  8 Zn 2.55-2.79
Zn 0.0000 0.2821 0.7179  8 Zn 2.55-2.79
Zn 0.2821 0.0000 0.7179  8 Zn 2.55-2.79
Zn 0.7179 0.0000 0.2821  8 Zn 2.55-2.79
Zn 0.8488 0.3500 0.3500  8 Zn 2.62-2.79, 1 Rh 2.79
Rh 0.8909 0.8909 0.8909  12 Zn 2.72-2.92, 1 Rh 2.86, 1 Pm 2.95
Rh 0.1091 0.1091 0.1091  12 Zn 2.72-2.92, 1 Rh 2.86, 1 Pm 2.95
Pm 0.3346 0.3346 0.3346  1 Rh 2.95, 12 Zn 3.25-3.28
Pm 0.6654 0.6654 0.6654  1 Rh 2.95, 12 Zn 3.25-3.28

=====

No. 3
## Pm3Zn8Rh (GGA-PBE)

Data for an optimized crystal structure of Pm3Zn8Rh.

Output
- ΔE_f: -0.315 eV per atom
- Symmetry: No. 160
- Calculated volume: 225.9 Å³/cell
- E: -35.6 eV/f.u.

Lattice parameters (Å, degrees): 5.3414 5.3414 9.6469 73.93 73.93 60.00
Last column: nearest neighbours and their distance in Å.
Sites, in units of the cell vectors:
Zn 0.4325 0.9355 0.1995  6 Zn 2.65-2.79
Zn 0.9379 0.4441 0.6801  6 Zn 2.64-2.86
Zn 0.4441 0.9379 0.6801  6 Zn 2.64-2.86
Zn 0.4325 0.4325 0.1995  6 Zn 2.65-2.79
Zn 0.6849 0.6849 0.9452  6 Zn 2.79-2.86
Zn 0.9379 0.9379 0.6801  6 Zn 2.64-2.86
Zn 0.9355 0.4325 0.1995  6 Zn 2.65-2.79
Zn 0.1881 0.1881 0.4357  6 Zn 2.65-2.73
Pm 0.5046 0.5046 0.4861  12 Zn 3.04-3.21, 3 Rh 3.34
Pm 0.9886 0.9886 0.0343  1 Rh 2.83, 6 Zn 3.07
Pm 0.3782 0.3782 0.8653  12 Zn 3.16-3.42, 4 Pm 3.45-3.47
Rh 0.8852 0.8852 0.3444  1 Pm 2.83, 6 Zn 2.98

=====

No. 4
## Pm7Zn2Rh2 (GGA-PBE)

Data for an optimized crystal structure of Pm7Zn2Rh2.

Output
- ΔE_f: -0.281 eV per atom
- Symmetry: No. 65
- Calculated volume: 316.0 Å³/cell
- E: -53.6 eV/f.u.

Lattice parameters (Å, degrees): 6.8164 7.2179 6.8164 90.00 109.58 90.00
Last column: nearest neighbours and their distance in Å.
Sites, in units of the cell vectors:
Pm 0.0000 0.7371 0.5000  2 Rh 2.78
Pm 0.5000 0.7371 0.0000  2 Rh 2.78
Pm 0.5000 0.2629 0.0000  2 Rh 2.78
Pm 0.0000 0.2629 0.5000  2 Rh 2.78
Pm 0.0000 0.0000 0.0000  2 Rh 3.28
Pm 0.5000 0.2563 0.5000  2 Rh 2.94, 2 Zn 3.17
Pm 0.5000 0.7437 0.5000  2 Rh 2.94, 2 Zn 3.17
Zn 0.1640 0.5000 0.1640  1 Zn 2.58
Zn 0.8360 0.5000 0.8360  1 Zn 2.58
Rh 0.2948 0.0000 0.7052  6 Pm 2.78-2.94
Rh 0.7052 0.0000 0.2948  6 Pm 2.78-2.94

=====

No. 5
## PmZn3Rh (GGA-PBE)

Data for an optimized crystal structure of PmZn3Rh.

Output
- ΔE_f: -0.214 eV per atom
- Symmetry: No. 221
- Calculated volume: 106.5 Å³/cell
- E: -17.0 eV/f.u.
- Relative energy among the computed polymorphs: 210.0 meV per atom

Lattice parameters (Å, degrees): 4.7400 4.7400 4.7400 90.00 90.00 90.00
Last column: nearest neighbours and their distance in Å.
Sites, in units of the cell vectors:
Pm 0.5000 0.5000 0.5000  12 Zn 3.35
Zn 0.0000 0.5000 0.0000  2 Rh 2.37
Zn 0.0000 0.0000 0.5000  2 Rh 2.37
Zn 0.5000 0.0000 0.0000  2 Rh 2.37
Rh 0.0000 0.0000 0.0000  6 Zn 2.37

=====

No. 6
## Pm5ZnRh4 (GGA-PBE)

Data for an optimized crystal structure of Pm5ZnRh4.

Output
- ΔE_f: -0.615 eV per atom
- Symmetry: No. 123
- Calculated volume: 223.7 Å³/cell
- E: -60.6 eV/f.u.

Lattice parameters (Å, degrees): 3.5657 3.5657 17.5942 90.00 90.00 90.00
Last column: nearest neighbours and their distance in Å.
Sites, in units of the cell vectors:
Pm 0.5000 0.5000 0.6968  8 Rh 3.05-3.08, 1 Pm 3.42
Pm 0.5000 0.5000 0.5000  8 Rh 3.07
Pm 0.5000 0.5000 0.3032  8 Rh 3.05-3.08, 1 Pm 3.42
Pm 0.5000 0.5000 0.1090  4 Rh 3.01, 4 Zn 3.17
Pm 0.5000 0.5000 0.8910  4 Rh 3.01, 4 Zn 3.17
Rh 0.0000 0.0000 0.5991  8 Pm 3.05-3.07
Rh 0.0000 0.0000 0.7974  8 Pm 3.01-3.08
Rh 0.0000 0.0000 0.4009  8 Pm 3.05-3.07
Rh 0.0000 0.0000 0.2026  8 Pm 3.01-3.08
Zn 0.0000 0.0000 0.0000  8 Pm 3.17

=====

No. 7
## Pm2Zn2Rh3 (GGA-PBE)

Data for an optimized crystal structure of Pm2Zn2Rh3.

Output
- ΔE_f: -0.536 eV per atom
- Symmetry: No. 12
- Calculated volume: 133.6 Å³/cell
- E: -37.9 eV/f.u.

Lattice parameters (Å, degrees): 3.7861 5.7202 7.0161 110.07 90.00 109.33
Last column: nearest neighbours and their distance in Å.
Sites, in units of the cell vectors:
Rh 0.3733 0.7465 0.5460  3 Zn 2.57-2.59
Rh 0.5000 0.0000 0.0000  4 Zn 2.64
Rh 0.6267 0.2535 0.4540  3 Zn 2.57-2.59
Zn 0.8442 0.6883 0.7742  5 Rh 2.57-2.64
Zn 0.1558 0.3117 0.2258  5 Rh 2.57-2.64
Pm 0.1150 0.2301 0.7603  6 Rh 2.90-3.13, 4 Zn 2.96-3.13
Pm 0.8850 0.7699 0.2397  6 Rh 2.90-3.13, 4 Zn 2.96-3.13

=====

No. 8
## PmZn10Rh2 (GGA-PBE)

Data for an optimized crystal structure of PmZn10Rh2.

Output
- ΔE_f: -0.267 eV per atom
- Symmetry: No. 69
- Calculated volume: 210.7 Å³/cell
- E: -35.7 eV/f.u.

Lattice parameters (Å, degrees): 5.4665 6.7938 6.7735 80.66 66.20 66.28
Last column: nearest neighbours and their distance in Å.
Sites, in units of the cell vectors:
Rh 0.5000 0.5000 0.0000  8 Zn 2.59-2.66, 2 Rh 2.73
Rh 0.0000 0.5000 0.0000  8 Zn 2.59-2.66, 2 Rh 2.73
Zn 0.5000 0.0000 0.5000  10 Zn 2.61-2.80
Zn 0.4988 0.2205 0.7818  2 Rh 2.59, 6 Zn 2.61-2.87
Zn 0.0097 0.6407 0.3399  5 Zn 2.65-2.87, 2 Rh 2.66
Zn 0.0000 0.0000 0.5000  10 Zn 2.61-2.80
Zn 0.7193 0.7795 0.7818  2 Rh 2.59, 6 Zn 2.61-2.87
Zn 0.2807 0.2205 0.2182  2 Rh 2.59, 6 Zn 2.61-2.87
Zn 0.6504 0.3594 0.3399  5 Zn 2.65-2.87, 2 Rh 2.66
Zn 0.5012 0.7795 0.2182  2 Rh 2.59, 6 Zn 2.61-2.87
Zn 0.9903 0.3594 0.6601  5 Zn 2.65-2.87, 2 Rh 2.66
Zn 0.3496 0.6407 0.6601  5 Zn 2.65-2.87, 2 Rh 2.66
Pm 0.0000 0.0000 0.0000  16 Zn 3.07-3.39, 4 Rh 3.40

=====

No. 9
## Pm3Zn2Rh2 (GGA-PBE)

Data for an optimized crystal structure of Pm3Zn2Rh2.

Output
- ΔE_f: -0.582 eV per atom
- Symmetry: No. 71
- Calculated volume: 157.3 Å³/cell
- E: -35.6 eV/f.u.

Lattice parameters (Å, degrees): 4.0505 4.1465 9.8057 102.21 101.92 90.00
Last column: nearest neighbours and their distance in Å.
Sites, in units of the cell vectors:
Pm 0.8134 0.3134 0.6269  5 Rh 2.98-3.09, 2 Zn 3.03
Pm 0.1866 0.6866 0.3731  5 Rh 2.98-3.09, 2 Zn 3.03
Pm 0.0000 0.0000 0.0000  8 Zn 3.15, 4 Rh 3.44
Zn 0.5659 0.5659 0.1319  1 Zn 2.47, 2 Rh 2.59
Zn 0.4341 0.4341 0.8681  1 Zn 2.47, 2 Rh 2.59
Rh 0.6485 0.1485 0.2971  2 Zn 2.59
Rh 0.3515 0.8515 0.7029  2 Zn 2.59

=====

No. 10
## PmZn3Rh (GGA-PBE)

Data for an optimized crystal structure of PmZn3Rh.

Output
- ΔE_f: -0.424 eV per atom
- Symmetry: No. 11
- Calculated volume: 184.3 Å³/cell
- E: -18.0 eV/f.u.
- Relative energy among the computed polymorphs: 0.0 meV per atom

Lattice parameters (Å, degrees): 5.2312 5.6732 6.6593 90.00 111.17 90.00
Last column: nearest neighbours and their distance in Å.
Sites, in units of the cell vectors:
Zn 0.2387 0.9476 0.4079  1 Rh 2.55, 2 Zn 2.63
Zn 0.7956 0.4476 0.1527  1 Rh 2.55, 2 Zn 2.63
Zn 0.7445 0.7146 0.4595  2 Rh 2.62-2.64, 4 Zn 2.63-2.87
Zn 0.2898 0.2146 0.1011  2 Rh 2.62-2.64, 4 Zn 2.63-2.87
Zn 0.7445 0.1806 0.4595  2 Rh 2.62-2.64, 4 Zn 2.63-2.87
Zn 0.2898 0.6806 0.1011  2 Rh 2.62-2.64, 4 Zn 2.63-2.87
Rh 0.1397 0.9476 0.7562  5 Zn 2.55-2.64, 1 Pm 2.85
Rh 0.8946 0.4476 0.8044  5 Zn 2.55-2.64, 1 Pm 2.85
Pm 0.7222 0.9476 0.9424  2 Rh 2.85-2.87, 4 Zn 3.13-3.16
Pm 0.3121 0.4476 0.6182  2 Rh 2.85-2.87, 4 Zn 3.13-3.16

=====

No. 11
## Pm6Zn5Rh (GGA-PBE)

Data for an optimized crystal structure of Pm6Zn5Rh.

Output
- ΔE_f: -0.390 eV per atom
- Symmetry: No. 12
- Calculated volume: 288.4 Å³/cell
- E: -46.9 eV/f.u.

Lattice parameters (Å, degrees): 5.1507 7.2703 8.8944 65.87 73.24 90.00
Last column: nearest neighbours and their distance in Å.
Sites, in units of the cell vectors:
Rh 0.0000 0.0000 0.0000  8 Pm 3.05-3.11
Pm 0.5000 0.7590 0.0000  2 Rh 3.11, 6 Zn 3.19-3.25
Pm 0.8389 0.5951 0.3226  1 Rh 3.05, 7 Zn 3.10-3.18
Pm 0.1611 0.9177 0.6774  1 Rh 3.05, 7 Zn 3.10-3.18
Pm 0.1611 0.4049 0.6774  1 Rh 3.05, 7 Zn 3.10-3.18
Pm 0.5000 0.2410 0.0000  2 Rh 3.11, 6 Zn 3.19-3.25
Pm 0.8389 0.0823 0.3226  1 Rh 3.05, 7 Zn 3.10-3.18
Zn 0.6775 0.1777 0.6445  8 Pm 3.10-3.25
Zn 0.3318 0.3314 0.3370  8 Pm 3.16-3.21, 2 Zn 3.49-3.50
Zn 0.0000 0.5000 0.0000  8 Pm 3.11-3.19
Zn 0.6682 0.6686 0.6630  8 Pm 3.16-3.21, 2 Zn 3.49-3.50
Zn 0.3225 0.8223 0.3555  8 Pm 3.10-3.25

=====

Q: Among the records above, which one has the lowest E?
A: Pm5ZnRh4

=====

Q: Among the records above, which one has the highest calculated volume?
A: Pm7Zn2Rh2